Material: PrHo2Pb
Method: DFT, PBE
State: optimized geometry

Output
The value obtained for the total DFT energy (no corrections) is -4.695 eV per atom. The energy relative to the lowest polymorph listed for this composition is 27.4 meV/atom. For the calculated volume, the calculation gives 29.61 Å³ per atom.

a = 4.8724 Å, b = 4.9301 Å, c = 4.9301 Å
α = 90.00°, β = 90.00°, γ = 90.00°
Atoms (fractional coordinates):
Pr1 0.5000 0.5000 0.5000
Ho1 0.0000 0.5000 0.0000
Ho2 0.0000 0.0000 0.5000
Pb1 0.5000 0.0000 0.0000